No. 1
Entry from Alexandria: a relaxed K4GeH4N2O3 crystal (PBEsol).

a = 10.7533 Å, b = 6.4241 Å, c = 12.0960 Å
α = 90.00°, β = 105.36°, γ = 90.00°
Sites, in units of the cell vectors:
K  0.0157  0.1191  0.3529
K  0.0157  0.3809  0.8529
K  0.1353  0.1008  0.1127
K  0.1353  0.3992  0.6127
K  0.3006  0.6095  0.1724
K  0.3006  0.8905  0.6724
K  0.3531  0.1918  0.3998
K  0.3531  0.3082  0.8998
K  0.6469  0.6918  0.1002
K  0.6469  0.8082  0.6002
K  0.6994  0.1095  0.3276
K  0.6994  0.3905  0.8276
K  0.8647  0.6008  0.3873
K  0.8647  0.8992  0.8873
K  0.9843  0.6191  0.1471
K  0.9843  0.8809  0.6471
Ge  0.2012  0.6931  0.4002
Ge  0.2012  0.8069  0.9002
Ge  0.7988  0.1931  0.0998
Ge  0.7988  0.3069  0.5998
H  0.3899  0.5428  0.5411
H  0.3899  0.9572  0.0411
H  0.4288  0.0816  0.1981
H  0.4288  0.4184  0.6981
H  0.4366  0.6760  0.4418
H  0.4366  0.8240  0.9418
H  0.4856  0.1939  0.6767
H  0.4856  0.3061  0.1767
H  0.5144  0.6939  0.8233
H  0.5144  0.8061  0.3233
H  0.5634  0.1760  0.0582
H  0.5634  0.3240  0.5582
H  0.5712  0.5816  0.3019
H  0.5712  0.9184  0.8019
H  0.6101  0.0428  0.9589
H  0.6101  0.4572  0.4589
N  0.3750  0.6820  0.4949
N  0.3750  0.8180  0.9949
N  0.4016  0.2192  0.1538
N  0.4016  0.2808  0.6538
N  0.5984  0.7192  0.3462
N  0.5984  0.7808  0.8462
N  0.6250  0.1820  0.0051
N  0.6250  0.3180  0.5051
O  0.1052  0.7331  0.9915
O  0.1052  0.7669  0.4915
O  0.1563  0.0511  0.8348
O  0.1563  0.4489  0.3348
O  0.2042  0.6172  0.7961
O  0.2042  0.8828  0.2961
O  0.7958  0.1172  0.7039
O  0.7958  0.3828  0.2039
O  0.8437  0.5511  0.6652
O  0.8437  0.9489  0.1652
O  0.8948  0.2331  0.5085
O  0.8948  0.2669  0.0085

Values from the calculation:
Calculated total energy   -0.183 hartree per atom

No. 2
Entry from Alexandria: a relaxed K3GeH3S3O2 crystal (PBEsol).

a = 6.6315 Å, b = 7.4187 Å, c = 9.9868 Å
α = 87.74°, β = 81.30°, γ = 69.50°
Sites, in units of the cell vectors:
K  0.1158  0.3823  0.2254
K  0.2587  0.8590  0.0622
K  0.2613  0.7313  0.4466
K  0.7387  0.2687  0.5534
K  0.7413  0.1410  0.9378
K  0.8842  0.6177  0.7746
Ge  0.3084  0.1049  0.7243
Ge  0.6916  0.8951  0.2757
H  0.3463  0.0871  0.3837
H  0.4316  0.4245  0.8300
H  0.4376  0.6195  0.7691
H  0.5624  0.3805  0.2309
H  0.5684  0.5755  0.1700
H  0.6537  0.9129  0.6163
S  0.1708  0.8748  0.7479
S  0.2191  0.2929  0.5515
S  0.2280  0.2698  0.9144
S  0.7720  0.7302  0.0856
S  0.7809  0.7071  0.4485
S  0.8292  0.1252  0.2521
O  0.3931  0.0059  0.2980
O  0.4606  0.5122  0.2096
O  0.5394  0.4878  0.7904
O  0.6069  0.9941  0.7020

Values from the calculation:
Calculated total energy   -0.170 hartree per atom

No. 3
Entry from Alexandria: a relaxed LaGe3H crystal (PBEsol).

a = 4.4231 Å, b = 4.4231 Å, c = 4.4231 Å
α = 90.00°, β = 90.00°, γ = 90.00°
Sites, in units of the cell vectors:
La  0.0000  0.0000  0.0000
Ge  0.0000  0.5000  0.5000
Ge  0.5000  0.0000  0.5000
Ge  0.5000  0.5000  0.0000
H  0.5000  0.5000  0.5000

Values from the calculation:
Calculated total energy   -0.181 hartree per atom

- The highest calculated total energy belongs to which entry?
  K3GeH3S3O2